1.
Compound: LaCe2Zn2Ga2
Source: Alexandria via LeMat-Bulk
Functional: PBE
Structure: relaxed

Computed properties:
Final energy   -4.07 eV per atom
Size of the total moment   0.184 μB/atom
Density of states at the Fermi level   8.9 states/eV/cell
Formation energy   -0.440 eV/atom

Lattice parameters (Å, degrees): 4.372 4.372 9.786 77.09 77.09 60.00
Each line ends with the local moment (μB).
Fractional coordinates of all 7 atoms:
1 La 0.000 0.000 0.000  -0.01
2 Ce 0.143 0.143 0.570  0.62
3 Ce 0.857 0.857 0.430  0.62
4 Zn 0.591 0.591 0.227  -0.01
5 Zn 0.409 0.409 0.773  -0.01
6 Ga 0.741 0.741 0.777  -0.01
7 Ga 0.259 0.259 0.223  -0.01

***

2.
Compound: MnNbSeN2
Source: Alexandria via LeMat-Bulk
Functional: PBE
Structure: relaxed

Computed properties:
Raw formation energy   1.3 eV/f.u.
Final energy   -7.61 eV per atom
Relative energy among the computed polymorphs   0.000 eV/f.u.
Size of the total moment   0.921 μB/atom
Density of states at the Fermi level   1.9 states/eV/cell

Lattice parameters (Å, degrees): 3.997 3.997 5.469 90.00 90.00 90.00
Each line ends with the local moment (μB).
Fractional coordinates of all 5 atoms:
1 Nb 0.000 0.000 0.000  0.07
2 Mn 0.500 0.500 0.500  4.44
3 Se 0.000 0.000 0.500  0.03
4 N 0.000 0.500 0.000  -0.11
5 N 0.500 0.000 0.000  -0.11

***

3.
Compound: NdEuBr
Source: Alexandria via LeMat-Bulk
Functional: PBE
Structure: relaxed

Computed properties:
Raw formation energy   -2.5 eV/f.u.
Final energy   -6.40 eV per atom
Size of the total moment   2.331 μB/atom
Density of states at the Fermi level   6.9 states/eV/cell

Lattice parameters (Å, degrees): 3.887 3.887 7.666 90.00 90.00 120.00
Each line ends with the local moment (μB).
Fractional coordinates of all 3 atoms:
1 Eu 0.333 0.667 0.639  -6.98
2 Nd 0.000 0.000 0.033  0.16
3 Br 0.667 0.333 0.328  0.01

***

4.
Compound: Be2CdW
Source: Alexandria via LeMat-Bulk
Functional: PBE
Structure: relaxed

Computed properties:
Final energy   -4.97 eV per atom
Size of the total moment   0.000 μB/atom
Density of states at the Fermi level   1.2 states/eV/cell
Formation energy   0.364 eV/atom

Lattice parameters (Å, degrees): 2.752 2.891 6.612 90.00 90.00 90.00
Fractional coordinates of all 4 atoms:
1 Be 0.000 0.000 0.043
2 Be 0.500 0.500 0.189
3 W 0.500 0.500 0.807
4 Cd 0.000 0.000 0.461

***

5.
Compound: SmDy5Er
Source: Alexandria via LeMat-Bulk
Functional: PBE
Structure: relaxed

Computed properties:
Final energy   -3.52 eV per atom
Relative energy among the computed polymorphs   6.303 eV/f.u.
Size of the total moment   0.000 μB/atom
Density of states at the Fermi level   8.0 states/eV/cell
Formation energy   1.093 eV/atom

Lattice parameters (Å, degrees): 5.758 7.890 7.890 66.03 68.60 68.60
Fractional coordinates of all 7 atoms:
1 Sm 0.500 0.500 0.500
2 Dy 0.500 0.178 0.822
3 Dy 0.500 0.822 0.178
4 Dy 0.745 0.255 0.255
5 Dy 0.255 0.745 0.745
6 Dy 0.000 0.500 0.500
7 Er 0.000 0.000 0.000

***

6.
Compound: La5PrCd6
Source: Alexandria via LeMat-Bulk
Functional: PBE
Structure: relaxed

Computed properties:
Final energy   -3.24 eV per atom
Size of the total moment   0.153 μB/atom
Density of states at the Fermi level   15.8 states/eV/cell
Formation energy   -0.327 eV/atom

Lattice parameters (Å, degrees): 5.537 7.893 8.772 90.00 71.44 90.00
Each line ends with the local moment (μB).
Fractional coordinates of all 12 atoms:
1 Pr 0.000 0.000 0.000  0.14
2 La 0.668 0.500 0.664  0.13
3 La 0.333 0.000 0.334  0.13
4 La 0.000 0.500 0.000  0.12
5 La 0.667 0.000 0.666  0.13
6 La 0.332 0.500 0.336  0.13
7 Cd 0.835 0.752 0.331  0.01
8 Cd 0.835 0.248 0.331  0.01
9 Cd 0.500 0.248 0.000  0.01
10 Cd 0.500 0.752 0.000  0.01
11 Cd 0.165 0.752 0.669  0.01
12 Cd 0.165 0.248 0.669  0.01

***

7.
Compound: SmHo4Tm7
Source: Alexandria via LeMat-Bulk
Functional: PBE
Structure: relaxed

Computed properties:
Final energy   -4.24 eV per atom
Relative energy among the computed polymorphs   2.486 eV/f.u.
Size of the total moment   0.000 μB/atom
Density of states at the Fermi level   20.8 states/eV/cell
Formation energy   0.291 eV/atom

Lattice parameters (Å, degrees): 5.778 11.422 6.649 83.23 64.24 75.35
Fractional coordinates of all 12 atoms:
1 Sm 0.000 0.000 0.000
2 Ho 0.633 0.225 0.508
3 Ho 0.367 0.775 0.492
4 Ho 0.752 0.683 0.814
5 Ho 0.248 0.317 0.186
6 Tm 0.789 0.923 0.500
7 Tm 0.211 0.077 0.500
8 Tm 0.060 0.672 0.208
9 Tm 0.940 0.328 0.792
10 Tm 0.365 0.503 0.768
11 Tm 0.500 0.000 0.000
12 Tm 0.635 0.497 0.232

***

8.
Compound: Tl4SiAs
Source: Alexandria via LeMat-Bulk
Functional: PBE
Structure: relaxed

Computed properties:
Raw formation energy   3.8 eV/f.u.
Final energy   -2.63 eV per atom
Size of the total moment   0.000 μB/atom
Density of states at the Fermi level   4.0 states/eV/cell

Lattice parameters (Å, degrees): 6.289 6.289 6.289 60.00 60.00 60.00
Fractional coordinates of all 6 atoms:
1 Tl 0.875 0.375 0.375
2 Tl 0.375 0.375 0.875
3 Tl 0.375 0.875 0.375
4 Tl 0.375 0.375 0.375
5 Si 0.000 0.000 0.000
6 As 0.750 0.750 0.750